(1)
Density functional theory data (PBE) for a relaxed SrTl2OsO8 crystal.

Geometry as POSCAR:
```
SrTl2OsO8
1.0
5.239 0.000 0.000
0.033 5.241 0.000
0.632 0.680 6.965
Sr Tl Os O
1 2 1 8
direct
0.000 0.000 0.000 Sr
0.461 0.459 0.240 Tl
0.539 0.541 0.760 Tl
0.000 0.000 0.500 Os
0.162 0.813 0.691 O
0.181 0.833 0.312 O
0.268 0.261 0.488 O
0.325 0.311 0.972 O
0.675 0.689 0.028 O
0.732 0.739 0.512 O
0.819 0.167 0.688 O
0.838 0.187 0.309 O
```

Results
For the formation energy without anion corrections, the calculation gives -1044 meV per atom. The raw total energy comes out at -5.82 eV per atom. Its density of states at the Fermi level is 0.043 states/eV/atom.



(2)
Density functional theory data (PBE) for a relaxed SrTlOs2O8 crystal.

Geometry as POSCAR:
```
SrTlOs2O8
1.0
6.179 0.000 0.000
-3.090 5.351 0.000
0.000 0.000 7.990
Sr Tl Os O
1 1 2 8
direct
0.000 0.000 0.000 Sr
0.000 0.000 0.500 Tl
0.333 0.667 0.835 Os
0.667 0.333 0.165 Os
0.172 0.344 0.773 O
0.172 0.828 0.773 O
0.333 0.667 0.057 O
0.344 0.172 0.227 O
0.656 0.828 0.773 O
0.667 0.333 0.943 O
0.828 0.172 0.227 O
0.828 0.656 0.227 O
```

Results
For the formation energy without anion corrections, the calculation gives -1244 meV per atom. The raw total energy comes out at -6.76 eV per atom. Its density of states at the Fermi level is 0.805 states/eV/atom.



(3)
Density functional theory data (PBE) for a relaxed SrTl2OsO6 crystal.

Geometry as POSCAR:
```
SrTl2OsO6
1.0
6.357 0.000 0.000
-3.179 5.505 0.000
0.000 0.000 6.273
Sr Tl Os O
1 2 1 6
direct
0.000 0.000 0.000 Sr
0.333 0.667 0.539 Tl
0.667 0.333 0.461 Tl
0.000 0.000 0.500 Os
0.139 0.277 0.322 O
0.139 0.861 0.322 O
0.277 0.139 0.678 O
0.723 0.861 0.322 O
0.861 0.139 0.678 O
0.861 0.723 0.678 O
```

Results
For the formation energy without anion corrections, the calculation gives -1247 meV per atom. The raw total energy comes out at -5.99 eV per atom.